The following is a PBE with a Hubbard U calculation of an optimized crystal structure of Mn7SiO12, from Alexandria via LeMat-Bulk.

Lattice parameters (Å, degrees): 9.596 9.596 11.692 114.23 114.23 90.00
Atoms (fractional coordinates):
1 Mn 0.875 0.658 0.250
2 Mn 0.375 0.092 0.250
3 Mn 0.875 0.158 0.250
4 Mn 0.908 0.125 0.750
5 Mn 0.125 0.375 0.250
6 Mn 0.125 0.875 0.250
7 Mn 0.625 0.375 0.250
8 Mn 0.625 0.875 0.750
9 Mn 0.125 0.875 0.750
10 Mn 0.625 0.375 0.750
11 Mn 0.125 0.375 0.750
12 Mn 0.625 0.875 0.250
13 Mn 0.767 0.267 0.000
14 Mn 0.733 0.767 0.000
15 Mn 0.267 0.233 0.000
16 Mn 0.233 0.733 0.000
17 Mn 0.483 0.483 0.500
18 Mn 0.517 0.983 0.500
19 Mn 0.983 0.517 0.500
20 Mn 0.017 0.017 0.500
21 Mn 0.342 0.625 0.750
22 Mn 0.375 0.592 0.250
23 Mn 0.842 0.625 0.750
24 Mn 0.408 0.125 0.750
25 Mn 0.750 0.750 0.500
26 Mn 0.250 0.250 0.500
27 Mn 0.000 0.500 0.000
28 Mn 0.500 0.000 0.000
29 Si 0.500 0.500 0.000
30 Si 0.750 0.250 0.500
31 Si 0.250 0.750 0.500
32 Si 0.000 0.000 0.000
33 O 0.925 0.464 0.141
34 O 0.216 0.678 0.141
35 O 0.425 0.178 0.141
36 O 0.536 0.784 0.859
37 O 0.322 0.075 0.859
38 O 0.822 0.284 0.859
39 O 0.036 0.575 0.859
40 O 0.716 0.964 0.141
41 O 0.825 0.572 0.359
42 O 0.534 0.786 0.359
43 O 0.325 0.286 0.359
44 O 0.428 0.466 0.641
45 O 0.214 0.175 0.641
46 O 0.714 0.966 0.641
47 O 0.928 0.675 0.641
48 O 0.034 0.072 0.359
49 O 0.467 0.437 0.099
50 O 0.632 0.662 0.099
51 O 0.967 0.162 0.099
52 O 0.540 0.509 0.365
53 O 0.563 0.368 0.901
54 O 0.838 0.868 0.901
55 O 0.063 0.033 0.901
56 O 0.132 0.937 0.099
57 O 0.210 0.394 0.135
58 O 0.925 0.741 0.135
59 O 0.710 0.241 0.135
60 O 0.606 0.075 0.865
61 O 0.259 0.790 0.865
62 O 0.759 0.575 0.865
63 O 0.106 0.290 0.865
64 O 0.425 0.894 0.135
65 O 0.618 0.088 0.401
66 O 0.912 0.217 0.599
67 O 0.687 0.382 0.599
68 O 0.187 0.717 0.599
69 O 0.412 0.882 0.599
70 O 0.783 0.313 0.401
71 O 0.118 0.813 0.401
72 O 0.283 0.588 0.401
73 O 0.325 0.009 0.365
74 O 0.991 0.960 0.635
75 O 0.644 0.675 0.635
76 O 0.144 0.460 0.635
77 O 0.491 0.175 0.635
78 O 0.040 0.356 0.365
79 O 0.825 0.856 0.365
80 O 0.338 0.533 0.901

energy: -614.39 eV/cell
magnetization: 29.0 μB/f.u.